Density functional theory data (PBE-GGA) for a relaxed structure of Re2PAu.

Calculated values
SG = P4/mmm
total magnetization = 0.000 μB/f.u.
energy relative to the elements = 0.55 eV per atom
E_tot = -0.2885 hartree per atom

The structure in extended XYZ format:
```
4
Lattice="4.394 0.000 0.000 0.000 4.394 0.000 0.000 0.000 3.060" Properties=species:S:1:pos:R:3 pbc="T T T"
Re 0.000 2.197 0.000
Re 2.197 0.000 0.000
P 0.000 0.000 1.530
Au 2.197 2.197 1.530
```